Density functional theory data (PBE with a Hubbard U) for a relaxed V2O3F crystal.

Geometry as POSCAR:
```
V2O3F
1.0
4.621 -3.016 0.000
4.621 3.016 0.000
-0.121 0.000 4.718
V O F
4 6 2
direct
0.000 0.000 0.000 V
0.000 0.500 0.500 V
0.500 0.000 0.500 V
0.500 0.500 0.000 V
0.136 0.666 0.812 O
0.154 0.154 0.699 O
0.334 0.864 0.188 O
0.666 0.136 0.812 O
0.846 0.846 0.301 O
0.864 0.334 0.188 O
0.361 0.361 0.312 F
0.639 0.639 0.688 F
```

Summary:
Magnetic moment: 0.500 μB/atom
Energy above the lowest structure with this stoichiometry: 89 meV per atom